Computed, not measured: an optimized crystal structure of Li3VFe2O6 at the GGA+U level of DFT.

## Properties
E = -304.52 eV for the cell shown
ΔE to the lowest computed polymorph = 0.0 kJ per mole of atoms

Unit cell a=9.1319 b=5.2369 c=10.3235 alpha=90.00 beta=90.00 gamma=90.00
With the nearest neighbours (Å) after each atom.
Space group Cmc2_1 (No. 36)
Asymmetric unit:
Li (0.0000, 0.0076, 0.0000) [4 per cell]  4 O 1.90-2.06
Li (0.1680, 0.4955, 0.5010) [8 per cell]  4 O 1.89-2.07
V (0.0000, 0.3267, 0.2833) [4 per cell]  6 O 2.01-2.12
Fe (0.1668, 0.1723, 0.7784) [8 per cell]  6 O 2.00-2.14
O (0.0000, 0.0034, 0.6841) [4 per cell]  1 Li 1.90, 1 V 2.01, 2 Fe 2.01
O (0.0000, 0.3406, 0.8960) [4 per cell]  3 Li 2.05-2.07, 1 V 2.09, 2 Fe 2.14
O (0.1679, 0.1607, 0.3968) [8 per cell]  3 Li 2.04-2.06, 1 V 2.12, 2 Fe 2.13
O (0.1679, 0.4949, 0.1842) [8 per cell]  1 Li 1.89, 2 Fe 2.00, 1 V 2.04